# AcPm2SiN4, relaxed, DFT PBE-GGA
# Formation energy (no corrections) ... -1192 meV per atom
# Spin magnetization ... 0.00 μB/cell
data_AcPm2SiN4
_cell_length_a 3.5464
_cell_length_b 11.9802
_cell_length_c 11.9550
_cell_angle_alpha 90.00
_cell_angle_beta 90.00
_cell_angle_gamma 90.00
_space_group_name_H-M_alt 'C m c m'
_space_group_IT_number 63
_space_group_name_Hall '-C 2c 2'
loop_
_atom_site_label
_atom_site_fract_x
_atom_site_fract_y
_atom_site_fract_z
Ac1 0.0000 0.0883 0.2500
Pm1 0.0000 0.3679 0.0431
Si1 0.0000 0.1813 0.7500
N1 0.0000 0.0000 0.0000
N2 0.0000 0.2682 0.6329
N3 0.0000 0.3979 0.2500